1.
A geometry-optimized DySbPb structure. Source: the Open Quantum Materials Database, functional PBE.

The calculation puts the energy above the most stable polymorph in this dataset at 0.015 eV per atom. Its space group is F-43m.

Structure (CIF):
```
data_DySbPb
_chemical_formula_sum 'Dy1 Sb1 Pb1'
_space_group_name_H-M_alt 'P 1'
_space_group_IT_number 1
_space_group_name_Hall 'P 1'
_cell_length_a 5.1776
_cell_length_b 5.1776
_cell_length_c 5.1776
_cell_angle_alpha 60.00
_cell_angle_beta 60.00
_cell_angle_gamma 60.00
loop_
_atom_site_label
_atom_site_type_symbol
_atom_site_fract_x
_atom_site_fract_y
_atom_site_fract_z
Dy1 Dy 0.0000 0.0000 0.0000
Sb1 Sb 0.2500 0.2500 0.2500
Pb1 Pb 0.7500 0.7500 0.7500
```


2.
A geometry-optimized DySbPbSe3 structure. Source: the Open Quantum Materials Database, functional PBE.

Its space group is Cmcm.

Structure (CIF):
```
data_DySbPbSe3
_chemical_formula_sum 'Dy2 Sb2 Pb2 Se6'
_space_group_name_H-M_alt 'P 1'
_space_group_IT_number 1
_space_group_name_Hall 'P 1'
_cell_length_a 7.6608
_cell_length_b 7.6608
_cell_length_c 11.6184
_cell_angle_alpha 90.00
_cell_angle_beta 90.00
_cell_angle_gamma 149.42
loop_
_atom_site_label
_atom_site_type_symbol
_atom_site_fract_x
_atom_site_fract_y
_atom_site_fract_z
Dy1 Dy 0.0000 0.0000 0.0000
Dy2 Dy 0.0000 0.0000 0.5000
Sb1 Sb 0.3534 0.6466 0.7500
Sb2 Sb 0.6466 0.3534 0.2500
Pb1 Pb 0.3277 0.6723 0.2500
Pb2 Pb 0.6723 0.3277 0.7500
Se1 Se 0.0124 0.9876 0.7500
Se2 Se 0.3640 0.6360 0.5074
Se3 Se 0.3640 0.6360 0.9926
Se4 Se 0.6360 0.3640 0.0074
Se5 Se 0.6360 0.3640 0.4926
Se6 Se 0.9876 0.0124 0.2500
```


3.
A geometry-optimized DyZnPbSe3 structure. Source: the Open Quantum Materials Database, functional PBE.

Its space group is Cmcm.

Structure (CIF):
```
data_DyZnPbSe3
_chemical_formula_sum 'Dy2 Zn2 Pb2 Se6'
_space_group_name_H-M_alt 'P 1'
_space_group_IT_number 1
_space_group_name_Hall 'P 1'
_cell_length_a 7.2516
_cell_length_b 7.2516
_cell_length_c 10.6259
_cell_angle_alpha 90.00
_cell_angle_beta 90.00
_cell_angle_gamma 146.95
loop_
_atom_site_label
_atom_site_type_symbol
_atom_site_fract_x
_atom_site_fract_y
_atom_site_fract_z
Dy1 Dy 0.0000 0.0000 0.0000
Dy2 Dy 0.0000 0.0000 0.5000
Zn1 Zn 0.4707 0.5293 0.7500
Zn2 Zn 0.5293 0.4707 0.2500
Pb1 Pb 0.2216 0.7784 0.2500
Pb2 Pb 0.7784 0.2216 0.7500
Se1 Se 0.0834 0.9166 0.7500
Se2 Se 0.3619 0.6381 0.5550
Se3 Se 0.3619 0.6381 0.9450
Se4 Se 0.6381 0.3619 0.0550
Se5 Se 0.6381 0.3619 0.4450
Se6 Se 0.9166 0.0834 0.2500
```


4.
A geometry-optimized DySiPb structure. Source: the Open Quantum Materials Database, functional PBE.

The calculation puts the energy above the most stable polymorph in this dataset at 0.183 eV per atom. Its space group is F-43m.

Structure (CIF):
```
data_DySiPb
_chemical_formula_sum 'Dy1 Si1 Pb1'
_space_group_name_H-M_alt 'P 1'
_space_group_IT_number 1
_space_group_name_Hall 'P 1'
_cell_length_a 4.9560
_cell_length_b 4.9560
_cell_length_c 4.9560
_cell_angle_alpha 60.00
_cell_angle_beta 60.00
_cell_angle_gamma 60.00
loop_
_atom_site_label
_atom_site_type_symbol
_atom_site_fract_x
_atom_site_fract_y
_atom_site_fract_z
Dy1 Dy 0.0000 0.0000 0.0000
Si1 Si 0.2500 0.2500 0.2500
Pb1 Pb 0.7500 0.7500 0.7500
```


5.
A geometry-optimized DySiPb structure. Source: the Open Quantum Materials Database, functional PBE.

The calculation puts the energy above the most stable polymorph in this dataset at 0.000 eV per atom. Its space group is F-43m.

Structure (CIF):
```
data_DySiPb
_chemical_formula_sum 'Dy1 Si1 Pb1'
_space_group_name_H-M_alt 'P 1'
_space_group_IT_number 1
_space_group_name_Hall 'P 1'
_cell_length_a 4.9106
_cell_length_b 4.9106
_cell_length_c 4.9106
_cell_angle_alpha 60.00
_cell_angle_beta 60.00
_cell_angle_gamma 60.00
loop_
_atom_site_label
_atom_site_type_symbol
_atom_site_fract_x
_atom_site_fract_y
_atom_site_fract_z
Dy1 Dy 0.0000 0.0000 0.0000
Si1 Si 0.2500 0.2500 0.2500
Pb1 Pb 0.5000 0.5000 0.5000
```


6.
A geometry-optimized SmDyPb4 structure. Source: the Open Quantum Materials Database, functional PBE.

Its space group is Amm2.

Structure (CIF):
```
data_SmDyPb4
_chemical_formula_sum 'Sm1 Dy1 Pb4'
_space_group_name_H-M_alt 'P 1'
_space_group_IT_number 1
_space_group_name_Hall 'P 1'
_cell_length_a 3.3289
_cell_length_b 10.1884
_cell_length_c 10.1884
_cell_angle_alpha 36.25
_cell_angle_beta 90.00
_cell_angle_gamma 90.00
loop_
_atom_site_label
_atom_site_type_symbol
_atom_site_fract_x
_atom_site_fract_y
_atom_site_fract_z
Sm1 Sm 0.0000 0.0000 0.0000
Dy1 Dy 0.0000 0.8152 0.8152
Pb1 Pb 0.0000 0.1653 0.1653
Pb2 Pb 0.0000 0.3243 0.3243
Pb3 Pb 0.0000 0.4882 0.4882
Pb4 Pb 0.0000 0.6494 0.6494
```


7.
A geometry-optimized DySnTe3Pb structure. Source: the Open Quantum Materials Database, functional PBE.

Its space group is Cmcm.

Structure (CIF):
```
data_DySnTe3Pb
_chemical_formula_sum 'Dy2 Sn2 Te6 Pb2'
_space_group_name_H-M_alt 'P 1'
_space_group_IT_number 1
_space_group_name_Hall 'P 1'
_cell_length_a 7.9883
_cell_length_b 7.9883
_cell_length_c 11.1765
_cell_angle_alpha 90.00
_cell_angle_beta 90.00
_cell_angle_gamma 147.86
loop_
_atom_site_label
_atom_site_type_symbol
_atom_site_fract_x
_atom_site_fract_y
_atom_site_fract_z
Dy1 Dy 0.0000 0.0000 0.0000
Dy2 Dy 0.0000 0.0000 0.5000
Sn1 Sn 0.4701 0.5299 0.7500
Sn2 Sn 0.5299 0.4701 0.2500
Te1 Te 0.1138 0.8862 0.7500
Te2 Te 0.3546 0.6454 0.5294
Te3 Te 0.3546 0.6454 0.9706
Te4 Te 0.6454 0.3546 0.0294
Te5 Te 0.6454 0.3546 0.4706
Te6 Te 0.8862 0.1138 0.2500
Pb1 Pb 0.2281 0.7719 0.2500
Pb2 Pb 0.7719 0.2281 0.7500
```


8.
A geometry-optimized SrDyPb structure. Source: the Open Quantum Materials Database, functional PBE.

Its space group is F-43m.

Structure (CIF):
```
data_SrDyPb
_chemical_formula_sum 'Sr1 Dy1 Pb1'
_space_group_name_H-M_alt 'P 1'
_space_group_IT_number 1
_space_group_name_Hall 'P 1'
_cell_length_a 5.4142
_cell_length_b 5.4142
_cell_length_c 5.4142
_cell_angle_alpha 60.00
_cell_angle_beta 60.00
_cell_angle_gamma 60.00
loop_
_atom_site_label
_atom_site_type_symbol
_atom_site_fract_x
_atom_site_fract_y
_atom_site_fract_z
Sr1 Sr 0.0000 0.0000 0.0000
Dy1 Dy 0.5000 0.5000 0.5000
Pb1 Pb 0.7500 0.7500 0.7500
```


9.
A geometry-optimized TbDyPb structure. Source: the Open Quantum Materials Database, functional PBE.

Its space group is F-43m.

Structure (CIF):
```
data_TbDyPb
_chemical_formula_sum 'Tb1 Dy1 Pb1'
_space_group_name_H-M_alt 'P 1'
_space_group_IT_number 1
_space_group_name_Hall 'P 1'
_cell_length_a 5.1749
_cell_length_b 5.1749
_cell_length_c 5.1749
_cell_angle_alpha 60.00
_cell_angle_beta 60.00
_cell_angle_gamma 60.00
loop_
_atom_site_label
_atom_site_type_symbol
_atom_site_fract_x
_atom_site_fract_y
_atom_site_fract_z
Tb1 Tb 0.0000 0.0000 0.0000
Dy1 Dy 0.5000 0.5000 0.5000
Pb1 Pb 0.7500 0.7500 0.7500
```


10.
A geometry-optimized TbDyZn2Pb2 structure. Source: the Open Quantum Materials Database, functional PBE.

Its space group is P6_3/mmc.

Structure (CIF):
```
data_TbDyZn2Pb2
_chemical_formula_sum 'Tb2 Dy2 Zn4 Pb4'
_space_group_name_H-M_alt 'P 1'
_space_group_IT_number 1
_space_group_name_Hall 'P 1'
_cell_length_a 4.5992
_cell_length_b 4.5992
_cell_length_c 16.0365
_cell_angle_alpha 90.00
_cell_angle_beta 90.00
_cell_angle_gamma 120.00
loop_
_atom_site_label
_atom_site_type_symbol
_atom_site_fract_x
_atom_site_fract_y
_atom_site_fract_z
Tb1 Tb 0.0000 0.0000 0.2500
Tb2 Tb 0.0000 0.0000 0.7500
Dy1 Dy 0.0000 0.0000 0.0000
Dy2 Dy 0.0000 0.0000 0.5000
Zn1 Zn 0.3333 0.6667 0.1652
Zn2 Zn 0.3333 0.6667 0.3348
Zn3 Zn 0.6667 0.3333 0.6652
Zn4 Zn 0.6667 0.3333 0.8348
Pb1 Pb 0.3333 0.6667 0.6097
Pb2 Pb 0.3333 0.6667 0.8903
Pb3 Pb 0.6667 0.3333 0.1097
Pb4 Pb 0.6667 0.3333 0.3903
```


11.
A geometry-optimized TbDyZn2Pb2 structure. Source: the Open Quantum Materials Database, functional PBE.

Its space group is P6_3/mmc.

Structure (CIF):
```
data_TbDyZn2Pb2
_chemical_formula_sum 'Tb2 Dy2 Zn4 Pb4'
_space_group_name_H-M_alt 'P 1'
_space_group_IT_number 1
_space_group_name_Hall 'P 1'
_cell_length_a 4.5923
_cell_length_b 4.5923
_cell_length_c 16.0320
_cell_angle_alpha 90.00
_cell_angle_beta 90.00
_cell_angle_gamma 120.00
loop_
_atom_site_label
_atom_site_type_symbol
_atom_site_fract_x
_atom_site_fract_y
_atom_site_fract_z
Tb1 Tb 0.0000 0.0000 0.0000
Tb2 Tb 0.0000 0.0000 0.5000
Dy1 Dy 0.0000 0.0000 0.2500
Dy2 Dy 0.0000 0.0000 0.7500
Zn1 Zn 0.3333 0.6667 0.1653
Zn2 Zn 0.3333 0.6667 0.3347
Zn3 Zn 0.6667 0.3333 0.6653
Zn4 Zn 0.6667 0.3333 0.8347
Pb1 Pb 0.3333 0.6667 0.6102
Pb2 Pb 0.3333 0.6667 0.8898
Pb3 Pb 0.6667 0.3333 0.1102
Pb4 Pb 0.6667 0.3333 0.3898
```


12.
A geometry-optimized DyTcPb structure. Source: the Open Quantum Materials Database, functional PBE.

The calculation puts the energy above the most stable polymorph in this dataset at 0.000 eV per atom. Its space group is F-43m.

Structure (CIF):
```
data_DyTcPb
_chemical_formula_sum 'Dy1 Tc1 Pb1'
_space_group_name_H-M_alt 'P 1'
_space_group_IT_number 1
_space_group_name_Hall 'P 1'
_cell_length_a 4.7673
_cell_length_b 4.7673
_cell_length_c 4.7673
_cell_angle_alpha 60.00
_cell_angle_beta 60.00
_cell_angle_gamma 60.00
loop_
_atom_site_label
_atom_site_type_symbol
_atom_site_fract_x
_atom_site_fract_y
_atom_site_fract_z
Dy1 Dy 0.0000 0.0000 0.0000
Tc1 Tc 0.5000 0.5000 0.5000
Pb1 Pb 0.2500 0.2500 0.2500
```


no.,DFT total energy (eV per atom)
1,-4.36
2,-4.64
3,-4.27
4,-4.45
5,-4.63
6,-3.82
7,-4.16
8,-3.56
9,-4.51
10,-3.61
11,-3.61
12,-5.69